First-principles (PBE-GGA) data for a geometry-optimized ZnCoCu2 structure, as listed in the Alexandria database.

It has space group P4mm (No. 99), with a = 2.584 Å, b = 2.584 Å, c = 7.287 Å, α = 90.00°, β = 90.00° and γ = 90.00°. The inequivalent atoms are Zn at (0.000, 0.000, 0.000), Co at (0.500, 0.500, 0.251), Cu at (0.000, 0.000, 0.492) and Cu at (0.500, 0.500, 0.739).

The magnetic moment comes out at 1.41 μB per formula unit. The calculation puts the volume at 48.64 Å³ per cell. Its energy of formation is 0.036 eV per atom. The raw total energy comes out at -4.11 eV/atom.